# 1
Compound: Th4Co
Source: Alexandria via LeMat-Bulk
Functional: PBE-GGA
Structure: optimized geometry

Output
* formation energy: 0.04 eV/atom
* total magnetization: 0.00 μB per cell

abc: 5.334 5.334 5.334
angles: 90.00 90.00 90.00
Space group Pm-3m (No. 221)
One atom of each set of equivalent atoms:
Th (0.000, 0.000, 0.000) [1 per cell]
Th (0.000, 0.500, 0.500) [3 per cell]
Co (0.500, 0.500, 0.500) [1 per cell]



# 2
Compound: ThCo13
Source: Alexandria via LeMat-Bulk
Functional: PBE-GGA
Structure: optimized geometry

Output
* formation energy: -0.07 eV/atom
* total magnetization: 157.36 μB per cell

abc: 11.225 11.225 11.225
angles: 90.00 90.00 90.00
Space group Fm-3c (No. 226)
One atom of each set of equivalent atoms:
Th (0.250, 0.250, 0.250) [8 per cell]
Co (0.000, 0.000, 0.000) [8 per cell]
Co (0.000, 0.119, 0.178) [96 per cell]



> Which value of total magnetization does entry 1 give?

0.00 μB per cell



Copy entry 1 word for word.
Compound: Th4Co
Source: Alexandria via LeMat-Bulk
Functional: PBE-GGA
Structure: optimized geometry

Output
* formation energy: 0.04 eV/atom
* total magnetization: 0.00 μB per cell

abc: 5.334 5.334 5.334
angles: 90.00 90.00 90.00
Space group Pm-3m (No. 221)
One atom of each set of equivalent atoms:
Th (0.000, 0.000, 0.000) [1 per cell]
Th (0.000, 0.500, 0.500) [3 per cell]
Co (0.500, 0.500, 0.500) [1 per cell]



> Which of these has the highest formation energy?

Th4Co